1.
First-principles (PBE) data for a relaxed InNiP2 crystal, as listed in Alexandria via LeMat-Bulk.

Lattice parameters (Å, degrees): 3.2589 3.8264 6.1253 74.14 90.00 90.00
Sites, in units of the cell vectors:
Ni (0.5000, 0.8535, 0.8152)
In (0.0000, 0.4718, 0.5603)
P (0.5000, 0.2855, 0.0400)
P (0.0000, 0.8893, 0.0845)

Computed properties:
Energy of formation from the pure elements in eV/atom: -0.001
Total energy in eV for the cell shown: -19.3
SG: Pm (6)

=====

2.
First-principles (PBE) data for a relaxed K2PaCrN4 crystal, as listed in Alexandria via LeMat-Bulk.

Lattice parameters (Å, degrees): 5.1877 8.0812 6.6452 90.00 90.00 90.00
Each line ends with the local moment (μB).
Sites, in units of the cell vectors:
Pa (0.9456, 0.0935, 0.5000)  0.29
Pa (0.4456, 0.9065, 0.0000)  0.29
N (0.8449, 0.8451, 0.5000)  -0.02
N (0.9334, 0.2625, 0.7593)  -0.03
N (0.3449, 0.1549, 0.0000)  -0.02
N (0.4334, 0.7375, 0.7407)  -0.03
N (0.9334, 0.2625, 0.2407)  -0.03
N (0.4455, 0.0524, 0.5000)  -0.03
N (0.9455, 0.9476, 0.0000)  -0.03
N (0.4334, 0.7375, 0.2593)  -0.03
Cr (0.5038, 0.8349, 0.5000)  0.75
Cr (0.0038, 0.1651, 0.0000)  0.75
K (0.4466, 0.3722, 0.7343)  0.00
K (0.9466, 0.6278, 0.2343)  0.00
K (0.9466, 0.6278, 0.7657)  0.00
K (0.4466, 0.3722, 0.2657)  0.00

Computed properties:
Total energy in eV for the cell shown: -118.6
Energy relative to the elements, uncorrected in eV/atom: -0.583
SG: Pmn2_1 (31)

=====

What is the total energy in the second record?
-118.6 eV for the cell shown

=====

Look up the total energy of the first one.
-19.3 eV for the cell shown

=====

Number 2 is which compound?
K2PaCrN4